Entry 1:
! PBE K2ZrFeSi, optimized geometry; values from VASP
! ΔE_f (raw) ... 1.52 eV per atom
&SYSTEM
  ibrav = 0, nat = 5, ntyp = 4
/
ATOMIC_SPECIES
K 39.10 K.upf
Zr 91.22 Zr.upf
Fe 55.84 Fe.upf
Si 28.09 Si.upf
ATOMIC_POSITIONS crystal
K 0.000 0.500 0.000
K 0.500 0.000 0.000
Zr 0.000 0.000 0.000
Fe 0.500 0.500 0.500
Si 0.000 0.000 0.500
CELL_PARAMETERS angstrom
6.840 0.000 0.000
0.000 6.840 0.000
0.000 0.000 5.057



Entry 2:
! PBE ZrTlSb2, optimized geometry; values from VASP
! ΔE to the lowest computed polymorph ... 228.3 meV per atom
! ΔE_f (raw) ... -0.05 eV per atom
&SYSTEM
  ibrav = 0, nat = 4, ntyp = 3
/
ATOMIC_SPECIES
Zr 91.22 Zr.upf
Tl 204.38 Tl.upf
Sb 121.76 Sb.upf
ATOMIC_POSITIONS crystal
Zr 0.000 0.000 0.000
Tl 0.500 0.500 0.000
Sb 0.247 0.747 0.500
Sb 0.753 0.253 0.500
CELL_PARAMETERS angstrom
-2.008 2.662 4.698
2.008 -2.662 4.698
2.008 2.662 -4.698